Density functional theory data (PBE) for a relaxed KRbCuP crystal.

a b c (Å): 6.2483 5.8568 6.2644
angles (deg): 90.00 106.52 90.00
Closest atoms and distances in Å follow each position.
Sites, in units of the cell vectors:
Rb 0.0261 0.7500 0.1890  3 K 3.38-3.63, 4 P 3.40-3.51, 4 Cu 3.48-3.78, 2 Rb 3.72
Rb 0.9739 0.2500 0.8110  3 K 3.38-3.63, 4 P 3.40-3.51, 4 Cu 3.48-3.78, 2 Rb 3.72
K 0.6880 0.7500 0.5256  4 P 3.37-3.51, 3 Rb 3.38-3.63, 2 Cu 3.49, 2 K 3.71
K 0.3120 0.2500 0.4744  4 P 3.37-3.51, 3 Rb 3.38-3.63, 2 Cu 3.49, 2 K 3.71
P 0.2691 0.7500 0.7666  2 Cu 2.27
P 0.7309 0.2500 0.2334  2 Cu 2.27
Cu 0.5000 0.0000 0.0000  2 P 2.27
Cu 0.5000 0.5000 0.0000  2 P 2.27

Summary:
The total energy comes out at -24.8 eV/cell. As for the calculated density: 3.3 Mg/m³. As for the space group: P2_1/m, No. 11.

Density functional theory data (PBE) for a relaxed AlTcAu2 crystal.

a b c (Å): 4.5168 4.5168 4.5168
angles (deg): 60.00 60.00 60.00
Closest atoms and distances in Å follow each position.
Sites, in units of the cell vectors:
Au 0.7500 0.7500 0.7500  4 Al 2.77, 4 Au 2.77
Au 0.0000 0.0000 0.0000  4 Tc 2.77, 4 Au 2.77
Tc 0.2500 0.2500 0.2500  4 Al 2.77, 4 Au 2.77
Al 0.5000 0.5000 0.5000  4 Tc 2.77, 4 Au 2.77

Summary:
The total energy comes out at -20.2 eV/cell. As for the calculated density: 13.2 Mg/m³. As for the space group: F-43m, No. 216.

Density functional theory data (PBE) for a relaxed Y3HoNi4 crystal.

a b c (Å): 5.4142 4.1737 7.0442
angles (deg): 90.00 90.02 90.00
Closest atoms and distances in Å follow each position.
Sites, in units of the cell vectors:
Ni 0.6245 0.0000 0.0381  2 Ni 2.54
Ni 0.1245 0.5000 0.4620  2 Ni 2.54
Ni 0.8753 0.0000 0.5378  2 Ni 2.54
Ni 0.3755 0.5000 0.9622  2 Ni 2.54
Y 0.1301 0.0000 0.1797  7 Ni 2.86-2.91
Y 0.3700 0.0000 0.6796  7 Ni 2.86-2.91
Y 0.8699 0.5000 0.8203  7 Ni 2.86-2.91
Ho 0.6301 0.5000 0.3203  7 Ni 2.86-2.91

Summary:
As for the calculated density: 7.0 Mg/m³. As for the space group: Pm, No. 6. For the formation energy, the calculation gives -43 kJ per mole of atoms.

Density functional theory data (PBE) for a relaxed LiGe5Os3 crystal.

a b c (Å): 5.2844 5.2844 7.4338
angles (deg): 90.00 90.00 120.00
Closest atoms and distances in Å follow each position.
Sites, in units of the cell vectors:
Ge 0.3333 0.6667 0.2077  3 Os 2.65
Ge 0.3333 0.6667 0.7923  3 Os 2.65
Ge 0.6667 0.3333 0.7923  3 Os 2.65
Ge 0.6667 0.3333 0.2077  3 Os 2.65
Ge 0.0000 0.0000 0.5000  6 Os 2.64
Li 0.0000 0.0000 0.0000  14 Ge 3.42-3.72
Os 0.5000 0.0000 0.5000  4 Os 2.64, 6 Ge 2.64-2.65
Os 0.5000 0.5000 0.5000  4 Os 2.64, 6 Ge 2.64-2.65
Os 0.0000 0.5000 0.5000  6 Ge 2.64-2.65, 4 Os 2.64

Summary:
The total energy comes out at -55.4 eV/cell. As for the calculated density: 8.7 Mg/m³. As for the space group: P6/mmm, No. 191.

Density functional theory data (PBE) for a relaxed MgNiBOs crystal.

a b c (Å): 4.1008 4.1008 4.1008
angles (deg): 60.00 60.00 60.00
Closest atoms and distances in Å follow each position.
Sites, in units of the cell vectors:
Os 0.5000 0.5000 0.5000  4 Mg 2.51, 4 Ni 2.51
Mg 0.2500 0.2500 0.2500  4 Os 2.51, 4 B 2.51
Ni 0.7500 0.7500 0.7500  4 B 2.51, 4 Os 2.51
B 0.0000 0.0000 0.0000  4 Ni 2.51, 4 Mg 2.51

Summary:
The total energy comes out at -21.5 eV/cell. As for the calculated density: 9.7 Mg/m³. As for the space group: F-43m, No. 216.

Density functional theory data (PBE) for a relaxed RbCoSnS3 crystal.

a b c (Å): 7.4861 7.4861 10.7497
angles (deg): 90.00 90.00 149.42
Closest atoms and distances in Å follow each position.
Sites, in units of the cell vectors:
S 0.5404 0.4596 0.2500  2 Co 2.32
S 0.8810 0.1190 0.4313  1 Co 2.23
S 0.1190 0.8810 0.5687  1 Co 2.23
S 0.1190 0.8810 0.9313  1 Co 2.23
S 0.4596 0.5404 0.7500  2 Co 2.32
S 0.8810 0.1190 0.0687  1 Co 2.23
Sn 0.5000 0.5000 0.0000  6 S 2.72-2.75
Sn 0.5000 0.5000 0.5000  6 S 2.72-2.75
Co 0.9562 0.0438 0.2500  4 S 2.23-2.32
Co 0.0438 0.9562 0.7500  4 S 2.23-2.32
Rb 0.2335 0.7665 0.2500  8 S 3.42-3.80, 2 Co 3.77
Rb 0.7665 0.2335 0.7500  8 S 3.42-3.80, 2 Co 3.77

Summary:
The total energy comes out at -55.3 eV/cell. As for the calculated density: 3.9 Mg/m³. As for the space group: Cmcm, No. 63.

Density functional theory data (PBE) for a relaxed DyCdNi4 crystal.

a b c (Å): 4.9629 4.9629 4.9629
angles (deg): 60.00 60.00 60.00
Closest atoms and distances in Å follow each position.
Sites, in units of the cell vectors:
Ni 0.1226 0.6258 0.6258  6 Ni 2.47-2.50
Ni 0.6258 0.1226 0.6258  6 Ni 2.47-2.50
Ni 0.6258 0.6258 0.6258  6 Ni 2.47-2.50
Ni 0.6258 0.6258 0.1226  6 Ni 2.47-2.50
Cd 0.0000 0.0000 0.0000  12 Ni 2.91, 4 Dy 3.04
Dy 0.2500 0.2500 0.2500  12 Ni 2.91, 4 Cd 3.04

Summary:
As for the calculated density: 9.8 Mg/m³. As for the space group: F-43m, No. 216. For the formation energy, the calculation gives -35 kJ per mole of atoms.

Density functional theory data (PBE) for a relaxed Ba2InPtO6 crystal.

a b c (Å): 5.8351 5.8384 8.2638
angles (deg): 90.01 90.00 90.03
Closest atoms and distances in Å follow each position.
Sites, in units of the cell vectors:
Ba 0.4499 0.0500 0.2500  12 O 2.89-2.96
Ba 0.9501 0.5500 0.7501  12 O 2.89-2.95
Ba 0.4500 0.0499 0.7500  12 O 2.89-2.95
Ba 0.9500 0.5502 0.2500  12 O 2.89-2.95
O 0.6972 0.7872 0.5008  1 Pt 2.00, 1 In 2.13
O 0.7102 0.2950 0.9996  1 Pt 2.00, 1 In 2.13
O 0.1951 0.2901 0.0007  1 Pt 2.00, 1 In 2.13
O 0.2120 0.7963 0.4998  1 Pt 2.00, 1 In 2.13
O 0.7050 0.8106 0.9993  1 Pt 2.00, 1 In 2.13
O 0.9489 0.0502 0.2421  1 Pt 2.00, 1 In 2.13
O 0.6876 0.3029 0.5002  1 Pt 2.00, 1 In 2.13
O 0.4509 0.5501 0.2579  1 Pt 2.00, 1 In 2.13
O 0.9510 0.0504 0.7579  1 Pt 2.00, 1 In 2.13
O 0.2028 0.3121 0.4992  1 Pt 2.00, 1 In 2.13
O 0.1902 0.8059 0.0004  1 Pt 2.00, 1 In 2.13
O 0.4491 0.5492 0.7421  1 Pt 2.00, 1 In 2.13
Pt 0.9501 0.0503 0.0000  6 O 2.00
Pt 0.4499 0.5497 0.5000  6 O 2.00
In 0.4501 0.5502 0.0000  6 O 2.13
In 0.9499 0.0498 0.5000  6 O 2.13

Summary:
The total energy comes out at -117.7 eV/cell. As for the calculated density: 8.0 Mg/m³. As for the space group: P-1, No. 2.